[1]
Here is an optimized crystal structure of ZnGa5Ag from Alexandria via LeMat-Bulk. Energies are from GGA-PBE.

Unit cell a=8.6487 b=8.6487 c=6.4393 alpha=90.80 beta=90.80 gamma=146.74
Last column: nearest neighbours and their distance in Å.
Positions (direct):
Zn1 0.1821 0.8179 0.7500  8 Ga 2.69-2.86
Zn2 0.8179 0.1821 0.2500  8 Ga 2.69-2.86
Ga1 0.1471 0.8529 0.2500  2 Ag 2.73, 4 Ga 2.89-2.97
Ga2 0.1590 0.2474 0.1014  2 Ag 2.65-2.81, 1 Zn 2.69, 2 Ga 2.77-2.84
Ga3 0.2474 0.1590 0.6014  2 Ag 2.65-2.81, 1 Zn 2.69, 2 Ga 2.77-2.84
Ga4 0.2934 0.6915 0.0390  3 Zn 2.71-2.86, 4 Ga 2.72-2.98, 1 Ag 2.74
Ga5 0.3085 0.7066 0.4610  3 Zn 2.71-2.86, 4 Ga 2.72-2.98, 1 Ag 2.74
Ga6 0.6915 0.2934 0.5390  3 Zn 2.71-2.86, 4 Ga 2.72-2.98, 1 Ag 2.74
Ga7 0.7066 0.3085 0.9610  3 Zn 2.71-2.86, 4 Ga 2.72-2.98, 1 Ag 2.74
Ga8 0.7526 0.8410 0.3986  2 Ag 2.65-2.81, 1 Zn 2.69, 2 Ga 2.77-2.84
Ga9 0.8410 0.7526 0.8986  2 Ag 2.65-2.81, 1 Zn 2.69, 2 Ga 2.77-2.84
Ga10 0.8529 0.1471 0.7500  2 Ag 2.73, 4 Ga 2.89-2.97
Ag1 0.4223 0.5777 0.7500  8 Ga 2.65-2.81
Ag2 0.5777 0.4223 0.2500  8 Ga 2.65-2.81

Computed properties:
SG: No. 15
ΔE_f (eV per atom): 0.048


[2]
Here is an optimized crystal structure of Ag2HgOs from Alexandria via LeMat-Bulk. Energies are from GGA-PBE.

Unit cell a=5.8702 b=5.8702 c=5.8702 alpha=152.30 beta=129.92 gamma=58.19
Last column: nearest neighbours and their distance in Å.
Positions (direct):
Ag1 0.2392 0.2392 0.0000  6 Ag 2.81-2.86, 2 Os 2.83, 2 Hg 3.02
Ag2 0.7608 0.7608 0.0000  6 Ag 2.81-2.86, 2 Os 2.83, 2 Hg 3.02
Hg1 0.5000 0.0000 0.5000  2 Hg 2.81, 4 Os 2.85, 4 Ag 3.02
Os1 0.0000 0.5000 0.5000  2 Os 2.81, 4 Ag 2.83, 4 Hg 2.85

Computed properties:
SG: No. 71
ΔE_f (eV per atom): 0.634


| no. | DOS at the Fermi energy (states/eV per atom) |
| --- | --- |
| 1 | 0.315 |
| 2 | 0.500 |